LiBH4 (PBEsol, optimized geometry); calculated density = 0.73 g cm⁻³; uncorrected energy = -4.02 eV/atom; excess energy over the best structure of this formula in the dataset = 0.0 meV/atom
1.0
4.281 0.000 0.000
0.000 6.502 0.000
0.000 0.000 7.144
H Li B
16 4 4
Direct
0.250 0.923 0.909
0.480 0.422 0.205
0.520 0.922 0.295
0.250 0.577 0.409
0.980 0.922 0.295
0.250 0.265 0.403
0.250 0.235 0.903
0.020 0.078 0.705
0.520 0.578 0.795
0.980 0.578 0.795
0.750 0.735 0.597
0.020 0.422 0.205
0.750 0.765 0.097
0.750 0.077 0.091
0.750 0.423 0.591
0.480 0.078 0.705
0.750 0.887 0.847
0.750 0.613 0.347
0.250 0.387 0.653
0.250 0.113 0.153
0.750 0.576 0.691
0.250 0.076 0.809
0.250 0.424 0.309
0.750 0.924 0.191

LiB6H6 (PBEsol, optimized geometry); calculated density = 1.16 g cm⁻³; uncorrected energy = -5.22 eV/atom; excess energy over the best structure of this formula in the dataset = 0.4 meV/atom
1.0
-5.824 2.165 -2.404
-2.478 -0.127 6.774
2.780 8.793 1.182
H B Li
24 24 4
Direct
0.602 0.502 0.697
0.828 0.553 0.201
0.628 0.170 0.427
0.894 0.321 0.664
0.324 0.258 0.585
0.176 0.242 0.085
0.394 0.821 0.836
0.036 0.356 0.357
0.964 0.644 0.643
0.398 0.498 0.303
0.606 0.179 0.164
0.872 0.330 0.927
0.102 0.002 0.803
0.372 0.830 0.573
0.676 0.742 0.415
0.536 0.856 0.143
0.106 0.679 0.336
0.128 0.670 0.073
0.824 0.758 0.915
0.172 0.447 0.799
0.898 0.998 0.197
0.328 0.053 0.299
0.672 0.947 0.701
0.464 0.144 0.857
0.807 0.854 0.449
0.283 0.597 0.044
0.980 0.794 0.585
0.561 0.500 0.824
0.939 0.000 0.324
0.783 0.097 0.456
0.560 0.313 0.096
0.693 0.646 0.949
0.440 0.687 0.904
0.940 0.187 0.596
0.309 0.469 0.883
0.480 0.294 0.915
0.061 0.000 0.676
0.520 0.706 0.085
0.691 0.531 0.117
0.809 0.969 0.617
0.191 0.031 0.383
0.217 0.903 0.544
0.439 0.500 0.176
0.307 0.354 0.051
0.020 0.206 0.415
0.193 0.146 0.551
0.060 0.813 0.404
0.717 0.403 0.956
0.910 0.282 0.169
0.590 0.218 0.669
0.410 0.782 0.331
0.090 0.718 0.831